Entry 1:
SrHgOs2 | PBE | relaxed

Lattice parameters (Å, degrees): 3.048 5.010 5.030 90.00 90.00 90.00
Space group Pmmm (No. 47)
Symmetry-distinct sites (fractional):
Sr1 0.000 0.000 0.000 [1 per cell]
Hg1 0.500 0.000 0.500 [1 per cell]
Os1 0.000 0.500 0.500 [1 per cell]
Os2 0.500 0.500 0.000 [1 per cell]

Results
Raw total energy = -20.35 eV for the cell shown
ΔH_f (0 K) = 1024 meV per atom
Fermi-level density of states = 5.1 states/eV per cell

Entry 2:
Sm2FeHgC | PBE | relaxed

Lattice parameters (Å, degrees): 5.202 5.202 3.719 90.00 90.00 90.00
Space group P4/mmm (No. 123)
Symmetry-distinct sites (fractional):
Sm1 0.000 0.500 0.000 [2 per cell]
Fe1 0.000 0.000 0.500 [1 per cell]
Hg1 0.500 0.500 0.500 [1 per cell]
C1 0.000 0.000 0.000 [1 per cell]

Results
Raw total energy = -28.92 eV for the cell shown
ΔH_f (0 K) = -299 meV per atom
Fermi-level density of states = 2.7 states/eV per cell

What did the second record say?
Sm2FeHgC | PBE | relaxed

Lattice parameters (Å, degrees): 5.202 5.202 3.719 90.00 90.00 90.00
Space group P4/mmm (No. 123)
Symmetry-distinct sites (fractional):
Sm1 0.000 0.500 0.000 [2 per cell]
Fe1 0.000 0.000 0.500 [1 per cell]
Hg1 0.500 0.500 0.500 [1 per cell]
C1 0.000 0.000 0.000 [1 per cell]

Results
Raw total energy = -28.92 eV for the cell shown
ΔH_f (0 K) = -299 meV per atom
Fermi-level density of states = 2.7 states/eV per cell